[1]
Density functional theory data (GGA-PBE) for Ho5AgHg6 after structural relaxation.

energy of formation	-413	meV per atom

Cell: 8.986 8.986 5.142 Å, 106.60 106.60 120.14°
Fractional coordinates of all 12 atoms:
Ho (0.000, 0.000, 0.000)
Ho (0.171, 0.829, 0.500)
Ho (0.343, 0.657, 0.000)
Ho (0.657, 0.343, 0.000)
Ho (0.829, 0.171, 0.500)
Ag (0.500, 0.500, 0.500)
Hg (0.087, 0.417, 0.253)
Hg (0.244, 0.244, 0.744)
Hg (0.417, 0.087, 0.253)
Hg (0.583, 0.913, 0.747)
Hg (0.756, 0.756, 0.256)
Hg (0.913, 0.583, 0.747)

=====

[2]
Density functional theory data (GGA-PBE) for Cs2BaTbBr6 after structural relaxation.

raw formation energy	-1.80	eV per atom

Cell: 8.182 8.187 8.192 Å, 64.36 64.38 64.28°
Fractional coordinates of all 10 atoms:
Cs (0.237, 0.237, 0.236)
Cs (0.763, 0.763, 0.764)
Ba (0.500, 0.500, 0.500)
Tb (0.000, 0.000, 0.000)
Br (0.164, 0.769, 0.308)
Br (0.235, 0.694, 0.835)
Br (0.305, 0.166, 0.769)
Br (0.695, 0.834, 0.231)
Br (0.765, 0.306, 0.165)
Br (0.836, 0.231, 0.692)